Version w
## BeCdSCl2 (PBE)

Data for a relaxed BeCdSCl2 crystal.

```
data_BeCdSCl2
_cell_length_a 4.220
_cell_length_b 4.220
_cell_length_c 5.415
_cell_angle_alpha 90.00
_cell_angle_beta 90.00
_cell_angle_gamma 90.00
_space_group_name_H-M_alt 'P 4/m m m'
_space_group_IT_number 123
_space_group_name_Hall '-P 4 2'
loop_
_atom_site_label
_atom_site_fract_x
_atom_site_fract_y
_atom_site_fract_z
Be1 0.000 0.000 0.000
Cd1 0.500 0.500 0.500
S1 0.000 0.000 0.500
Cl1 0.000 0.500 0.000
```

Mass density   3.86 g/cm³


Version x
## BeCdSCl2 (PBE)

Data for a relaxed BeCdSCl2 crystal.

```
data_BeCdSCl2
_cell_length_a 4.995
_cell_length_b 4.995
_cell_length_c 5.275
_cell_angle_alpha 90.00
_cell_angle_beta 90.00
_cell_angle_gamma 90.00
_space_group_name_H-M_alt 'P 4/m m m'
_space_group_IT_number 123
_space_group_name_Hall '-P 4 2'
loop_
_atom_site_label
_atom_site_fract_x
_atom_site_fract_y
_atom_site_fract_z
Be1 0.000 0.000 0.000
Cd1 0.500 0.500 0.500
S1 0.500 0.500 0.000
Cl1 0.000 0.500 0.500
```

Mass density   2.83 g/cm³


We find version w to be the most stable, with the next structure 853 meV per atom higher.


Version w
## BeCdS2Cl (PBE)

Data for a relaxed BeCdS2Cl crystal.

```
data_BeCdS2Cl
_cell_length_a 4.997
_cell_length_b 4.997
_cell_length_c 5.024
_cell_angle_alpha 90.00
_cell_angle_beta 90.00
_cell_angle_gamma 90.00
_space_group_name_H-M_alt 'P 4/m m m'
_space_group_IT_number 123
_space_group_name_Hall '-P 4 2'
loop_
_atom_site_label
_atom_site_fract_x
_atom_site_fract_y
_atom_site_fract_z
Be1 0.000 0.000 0.000
Cd1 0.500 0.500 0.500
S1 0.000 0.500 0.500
Cl1 0.500 0.500 0.000
```

Mass density   2.93 g/cm³


Version x
## BeCdS2Cl (PBE)

Data for a relaxed BeCdS2Cl crystal.

```
data_BeCdS2Cl
_cell_length_a 4.216
_cell_length_b 4.216
_cell_length_c 5.269
_cell_angle_alpha 90.00
_cell_angle_beta 90.00
_cell_angle_gamma 90.00
_space_group_name_H-M_alt 'P 4/m m m'
_space_group_IT_number 123
_space_group_name_Hall '-P 4 2'
loop_
_atom_site_label
_atom_site_fract_x
_atom_site_fract_y
_atom_site_fract_z
Be1 0.000 0.000 0.000
Cd1 0.500 0.500 0.500
S1 0.000 0.500 0.000
Cl1 0.000 0.000 0.500
```

Mass density   3.92 g/cm³


We find version x to be the most stable, with the next structure 896 meV per atom higher.


Version w
## BeCd3Co (PBE)

Data for a relaxed BeCd3Co crystal.

```
data_BeCd3Co
_cell_length_a 4.594
_cell_length_b 4.594
_cell_length_c 4.594
_cell_angle_alpha 90.00
_cell_angle_beta 90.00
_cell_angle_gamma 90.00
_space_group_name_H-M_alt 'P m -3 m'
_space_group_IT_number 221
_space_group_name_Hall '-P 4 2 3'
loop_
_atom_site_label
_atom_site_fract_x
_atom_site_fract_y
_atom_site_fract_z
Be1 0.000 0.000 0.000
Cd1 0.000 0.000 0.500
Co1 0.500 0.500 0.500
```

Mass density   6.94 g/cm³


Version x
## BeCd3Co (PBE)

Data for a relaxed BeCd3Co crystal.

```
data_BeCd3Co
_cell_length_a 4.918
_cell_length_b 4.918
_cell_length_c 4.918
_cell_angle_alpha 90.00
_cell_angle_beta 90.00
_cell_angle_gamma 90.00
_space_group_name_H-M_alt 'P m -3 m'
_space_group_IT_number 221
_space_group_name_Hall '-P 4 2 3'
loop_
_atom_site_label
_atom_site_fract_x
_atom_site_fract_y
_atom_site_fract_z
Be1 0.000 0.000 0.000
Cd1 0.000 0.500 0.500
Co1 0.500 0.500 0.500
```

Mass density   5.66 g/cm³


We find version w to be the most stable, with the next structure 178 meV per atom higher.


Version w
## Be2CdCo2 (PBE)

Data for a relaxed Be2CdCo2 crystal.

```
data_Be2CdCo2
_cell_length_a 6.652
_cell_length_b 6.652
_cell_length_c 2.592
_cell_angle_alpha 90.00
_cell_angle_beta 90.00
_cell_angle_gamma 90.00
_space_group_name_H-M_alt 'P 4/m b m'
_space_group_IT_number 127
_space_group_name_Hall '-P 4 2ab'
loop_
_atom_site_label
_atom_site_fract_x
_atom_site_fract_y
_atom_site_fract_z
Be1 0.165 0.335 0.000
Cd1 0.000 0.000 0.500
Co1 0.124 0.624 0.500
```

Mass density   7.19 g/cm³


Version x
## Be2CdCo2 (PBE)

Data for a relaxed Be2CdCo2 crystal.

```
data_Be2CdCo2
_cell_length_a 6.295
_cell_length_b 6.295
_cell_length_c 2.767
_cell_angle_alpha 90.00
_cell_angle_beta 90.00
_cell_angle_gamma 90.00
_space_group_name_H-M_alt 'P 4/m b m'
_space_group_IT_number 127
_space_group_name_Hall '-P 4 2ab'
loop_
_atom_site_label
_atom_site_fract_x
_atom_site_fract_y
_atom_site_fract_z
Be1 0.122 0.378 0.000
Cd1 0.000 0.000 0.000
Co1 0.158 0.658 0.500
```

Mass density   7.52 g/cm³


We find version x to be the most stable, with the next structure 130 meV per atom higher.


Version w
## BeZnCdCoP (PBE)

Data for a relaxed BeZnCdCoP crystal.

```
data_BeZnCdCoP
_cell_length_a 2.878
_cell_length_b 2.878
_cell_length_c 8.473
_cell_angle_alpha 90.00
_cell_angle_beta 90.00
_cell_angle_gamma 90.00
_space_group_name_H-M_alt 'P 4 m m'
_space_group_IT_number 99
loop_
_space_group_symop_operation_xyz
'x,y,z'
'-y,x,z'
'-x,-y,z'
'y,-x,z'
'-x,y,z'
'y,x,z'
'x,-y,z'
'-y,-x,z'
loop_
_atom_site_label
_atom_site_fract_x
_atom_site_fract_y
_atom_site_fract_z
Be1 0.000 0.000 0.000
Zn1 0.000 0.000 0.551
Cd1 0.500 0.500 0.792
Co1 0.500 0.500 0.144
P1 0.000 0.000 0.269
```

Mass density   6.55 g/cm³


Version x
## BeZnCdCoP (PBE)

Data for a relaxed BeZnCdCoP crystal.

```
data_BeZnCdCoP
_cell_length_a 2.812
_cell_length_b 4.998
_cell_length_c 5.414
_cell_angle_alpha 81.19
_cell_angle_beta 89.90
_cell_angle_gamma 73.96
_space_group_name_H-M_alt 'P 1'
_space_group_IT_number 1
loop_
_space_group_symop_operation_xyz
'x,y,z'
loop_
_atom_site_label
_atom_site_fract_x
_atom_site_fract_y
_atom_site_fract_z
Be1 0.000 0.000 0.000
Zn1 0.223 0.562 0.334
Cd1 0.720 0.563 0.849
Co1 0.430 0.140 0.665
P1 0.963 0.075 0.379
```

Mass density   6.36 g/cm³


We find version w to be the most stable, with the next structure 43 meV per atom higher.


Version w
## BeCrCd3 (PBE)

Data for a relaxed BeCrCd3 crystal.

```
data_BeCrCd3
_cell_length_a 5.273
_cell_length_b 5.273
_cell_length_c 5.273
_cell_angle_alpha 90.00
_cell_angle_beta 90.00
_cell_angle_gamma 90.00
_space_group_name_H-M_alt 'P m -3 m'
_space_group_IT_number 221
_space_group_name_Hall '-P 4 2 3'
loop_
_atom_site_label
_atom_site_fract_x
_atom_site_fract_y
_atom_site_fract_z
Be1 0.000 0.000 0.000
Cr1 0.500 0.500 0.500
Cd1 0.000 0.500 0.500
```

Mass density   4.51 g/cm³


Version x
## BeCrCd3 (PBE)

Data for a relaxed BeCrCd3 crystal.

```
data_BeCrCd3
_cell_length_a 4.670
_cell_length_b 4.670
_cell_length_c 4.670
_cell_angle_alpha 90.00
_cell_angle_beta 90.00
_cell_angle_gamma 90.00
_space_group_name_H-M_alt 'P m -3 m'
_space_group_IT_number 221
_space_group_name_Hall '-P 4 2 3'
loop_
_atom_site_label
_atom_site_fract_x
_atom_site_fract_y
_atom_site_fract_z
Be1 0.000 0.000 0.000
Cr1 0.500 0.500 0.500
Cd1 0.000 0.000 0.500
```

Mass density   6.49 g/cm³


We find version x to be the most stable, with the next structure 556 meV per atom higher.